VASP calculation (PBE+U) on a relaxed Na6V2B4AsO16 crystal.

The structure in POSCAR format:
```
Na6V2B4AsO16
1.0
0.000 7.044 7.044
7.044 0.000 7.044
7.044 7.044 0.000
Na V B As O
12 4 8 2 32
direct
0.089 0.089 0.661
0.089 0.661 0.089
0.089 0.661 0.661
0.339 0.339 0.911
0.339 0.911 0.339
0.339 0.911 0.911
0.661 0.089 0.089
0.661 0.089 0.661
0.661 0.661 0.089
0.911 0.339 0.339
0.911 0.339 0.911
0.911 0.911 0.339
0.000 0.500 0.500
0.500 0.000 0.500
0.500 0.500 0.000
0.500 0.500 0.500
0.289 0.289 0.289
0.289 0.289 0.633
0.289 0.633 0.289
0.367 0.711 0.711
0.633 0.289 0.289
0.711 0.367 0.711
0.711 0.711 0.367
0.711 0.711 0.711
0.125 0.125 0.125
0.875 0.875 0.875
0.054 0.054 0.054
0.054 0.054 0.337
0.054 0.337 0.054
0.134 0.326 0.636
0.134 0.404 0.326
0.134 0.636 0.404
0.326 0.134 0.404
0.326 0.404 0.636
0.326 0.636 0.134
0.337 0.054 0.054
0.364 0.596 0.866
0.364 0.674 0.596
0.364 0.866 0.674
0.404 0.134 0.636
0.404 0.326 0.134
0.404 0.636 0.326
0.596 0.364 0.674
0.596 0.674 0.866
0.596 0.866 0.364
0.636 0.134 0.326
0.636 0.326 0.404
0.636 0.404 0.134
0.663 0.946 0.946
0.674 0.364 0.866
0.674 0.596 0.364
0.674 0.866 0.596
0.866 0.364 0.596
0.866 0.596 0.674
0.866 0.674 0.364
0.946 0.663 0.946
0.946 0.946 0.663
0.946 0.946 0.946
```

Results
- Calculated density: 2.917 g/cm³
- Volume: 12.05 A^3/atom
- Total DFT energy (no corrections): -6.597 eV per atom